The following is a PBE calculation of crystalline CoIrAu at its relaxed geometry, from Alexandria. Values from VASP.

Quantum ESPRESSO input file:
```
&SYSTEM
  ibrav = 0, nat = 3, ntyp = 3
/
ATOMIC_SPECIES
Au 196.97 Au.upf
Co 58.93 Co.upf
Ir 192.22 Ir.upf
CELL_PARAMETERS angstrom
-2.342 -4.108 3.770
1.563 -4.445 3.791
0.493 5.567 -2.310
ATOMIC_POSITIONS crystal
Au 0.994 0.994 0.000
Co 0.323 0.323 0.000
Ir 0.684 0.684 0.000
```

Results
space group = I4mm (107)
formation energy from the elements = 20.72 kJ/mol of atoms
total moment = 2.2 μB per formula unit

---

The following is a PBE calculation of crystalline Co2IrAu at its relaxed geometry, from Alexandria. Values from VASP.

Quantum ESPRESSO input file:
```
&SYSTEM
  ibrav = 0, nat = 4, ntyp = 3
/
ATOMIC_SPECIES
Au 196.97 Au.upf
Co 58.93 Co.upf
Ir 192.22 Ir.upf
CELL_PARAMETERS angstrom
2.717 0.000 0.000
0.000 2.717 0.000
0.000 0.000 7.439
ATOMIC_POSITIONS crystal
Au 0.500 0.500 0.764
Co 0.000 0.000 0.030
Co 0.500 0.500 0.237
Ir 0.000 0.000 0.468
```

Results
space group = P4mm (99)
formation energy from the elements = 21.38 kJ/mol of atoms
total moment = 3.7 μB per formula unit

---

The following is a PBE calculation of crystalline CoIrAu2 at its relaxed geometry, from Alexandria. Values from VASP.

Quantum ESPRESSO input file:
```
&SYSTEM
  ibrav = 0, nat = 4, ntyp = 3
/
ATOMIC_SPECIES
Au 196.97 Au.upf
Co 58.93 Co.upf
Ir 192.22 Ir.upf
CELL_PARAMETERS angstrom
-1.244 -1.540 -1.968
-0.708 -2.597 2.480
-5.367 2.691 1.286
ATOMIC_POSITIONS crystal
Au 0.000 0.000 0.985
Au 0.500 0.500 0.268
Co 0.000 0.000 0.533
Ir 0.500 0.500 0.713
```

Results
space group = Pmm2 (25)
formation energy from the elements = 23.89 kJ/mol of atoms
total moment = 2.2 μB per formula unit

---

The following is a PBE calculation of crystalline CoIrAu2 at its relaxed geometry, from Alexandria. Values from VASP.

Quantum ESPRESSO input file:
```
&SYSTEM
  ibrav = 0, nat = 4, ntyp = 3
/
ATOMIC_SPECIES
Au 196.97 Au.upf
Co 58.93 Co.upf
Ir 192.22 Ir.upf
CELL_PARAMETERS angstrom
2.850 0.000 0.000
0.000 4.784 0.060
0.000 3.259 4.616
ATOMIC_POSITIONS crystal
Au 0.000 0.000 0.000
Au 0.500 0.500 0.000
Co 0.500 0.500 0.500
Ir 0.000 0.000 0.500
```

Results
space group = P2/m (10)
formation energy from the elements = 35.07 kJ/mol of atoms
total moment = 2.5 μB per formula unit

---

The following is a PBE calculation of crystalline CoIrAu2 at its relaxed geometry, from Alexandria. Values from VASP.

Quantum ESPRESSO input file:
```
&SYSTEM
  ibrav = 0, nat = 4, ntyp = 3
/
ATOMIC_SPECIES
Au 196.97 Au.upf
Co 58.93 Co.upf
Ir 192.22 Ir.upf
CELL_PARAMETERS angstrom
-0.784 -0.165 2.715
4.502 -0.153 1.291
0.072 4.757 0.310
ATOMIC_POSITIONS crystal
Au 0.000 0.000 0.000
Au 0.500 0.500 0.000
Co 0.500 0.000 0.500
Ir 0.000 0.500 0.500
```

Results
space group = Pmmm (47)
formation energy from the elements = 41.50 kJ/mol of atoms
total moment = 2.3 μB per formula unit

---

The following is a PBE calculation of crystalline CoIrAu at its relaxed geometry, from Alexandria. Values from VASP.

Quantum ESPRESSO input file:
```
&SYSTEM
  ibrav = 0, nat = 12, ntyp = 3
/
ATOMIC_SPECIES
Co 58.93 Co.upf
Ir 192.22 Ir.upf
Au 196.97 Au.upf
CELL_PARAMETERS angstrom
-0.787 3.343 1.826
-8.643 -5.182 5.766
2.500 -0.978 2.869
ATOMIC_POSITIONS crystal
Co 0.000 0.568 0.250
Co 0.000 0.432 0.750
Co 0.500 0.068 0.250
Co 0.500 0.932 0.750
Ir 0.000 0.929 0.250
Ir 0.000 0.071 0.750
Ir 0.500 0.429 0.250
Ir 0.500 0.571 0.750
Au 0.000 0.250 0.250
Au 0.000 0.750 0.750
Au 0.500 0.750 0.250
Au 0.500 0.250 0.750
```

Results
space group = Cmcm (63)
formation energy from the elements = 22.96 kJ/mol of atoms
total moment = 2.3 μB per formula unit

---

The following is a PBE calculation of crystalline CoIrAu at its relaxed geometry, from Alexandria. Values from VASP.

Quantum ESPRESSO input file:
```
&SYSTEM
  ibrav = 0, nat = 12, ntyp = 3
/
ATOMIC_SPECIES
Co 58.93 Co.upf
Ir 192.22 Ir.upf
Au 196.97 Au.upf
CELL_PARAMETERS angstrom
5.586 0.000 0.017
0.000 2.772 0.000
-2.794 0.000 11.448
ATOMIC_POSITIONS crystal
Co 0.427 0.000 0.322
Co 0.573 0.000 0.678
Co 0.427 0.500 0.822
Co 0.573 0.500 0.178
Ir 0.893 0.000 0.317
Ir 0.107 0.000 0.683
Ir 0.893 0.500 0.817
Ir 0.107 0.500 0.183
Au 0.748 0.000 0.003
Au 0.252 0.000 0.997
Au 0.748 0.500 0.503
Au 0.252 0.500 0.497
```

Results
space group = C2/m (12)
formation energy from the elements = 19.35 kJ/mol of atoms
total moment = 2.3 μB per formula unit

---

The following is a PBE calculation of crystalline Co2IrAu at its relaxed geometry, from Alexandria. Values from VASP.

Quantum ESPRESSO input file:
```
&SYSTEM
  ibrav = 0, nat = 4, ntyp = 3
/
ATOMIC_SPECIES
Au 196.97 Au.upf
Co 58.93 Co.upf
Ir 192.22 Ir.upf
CELL_PARAMETERS angstrom
-5.385 -7.149 0.605
-4.184 -7.742 -1.743
-3.006 -8.432 0.590
ATOMIC_POSITIONS crystal
Au 0.746 0.746 0.746
Co 0.992 0.992 0.992
Co 0.254 0.254 0.254
Ir 0.509 0.509 0.509
```

Results
space group = R3m (160)
formation energy from the elements = 21.24 kJ/mol of atoms
total moment = 3.9 μB per formula unit

---

The following is a PBE calculation of crystalline CoIrAu2 at its relaxed geometry, from Alexandria. Values from VASP.

Quantum ESPRESSO input file:
```
&SYSTEM
  ibrav = 0, nat = 4, ntyp = 3
/
ATOMIC_SPECIES
Au 196.97 Au.upf
Co 58.93 Co.upf
Ir 192.22 Ir.upf
CELL_PARAMETERS angstrom
-1.076 1.904 -4.354
1.843 -2.790 -3.544
-2.751 -1.040 3.885
ATOMIC_POSITIONS crystal
Au 0.000 0.000 0.000
Au 0.500 0.500 0.000
Co 0.250 0.750 0.500
Ir 0.750 0.250 0.500
```

Results
space group = I4/mmm (139)
formation energy from the elements = 38.71 kJ/mol of atoms
total moment = 2.8 μB per formula unit

---

The following is a PBE calculation of crystalline CoIrAu2 at its relaxed geometry, from Alexandria. Values from VASP.

Quantum ESPRESSO input file:
```
&SYSTEM
  ibrav = 0, nat = 4, ntyp = 3
/
ATOMIC_SPECIES
Au 196.97 Au.upf
Co 58.93 Co.upf
Ir 192.22 Ir.upf
CELL_PARAMETERS angstrom
-3.272 2.062 1.134
-0.619 -2.578 2.901
2.210 2.181 2.410
ATOMIC_POSITIONS crystal
Au 0.000 0.000 0.000
Au 0.000 0.500 0.500
Co 0.500 0.500 0.000
Ir 0.500 0.000 0.500
```

Results
space group = P4/mmm (123)
formation energy from the elements = 35.87 kJ/mol of atoms
total moment = 3.0 μB per formula unit

---

The following is a PBE calculation of crystalline CoIrAu at its relaxed geometry, from Alexandria. Values from VASP.

Quantum ESPRESSO input file:
```
&SYSTEM
  ibrav = 0, nat = 3, ntyp = 3
/
ATOMIC_SPECIES
Au 196.97 Au.upf
Co 58.93 Co.upf
Ir 192.22 Ir.upf
CELL_PARAMETERS angstrom
4.301 0.000 0.000
-2.151 3.725 0.000
0.000 0.000 2.824
ATOMIC_POSITIONS crystal
Au 0.000 0.000 0.011
Co 0.333 0.667 0.461
Ir 0.667 0.333 0.528
```

Results
space group = P3m1 (156)
formation energy from the elements = 38.32 kJ/mol of atoms
total moment = 3.1 μB per formula unit

---

The following is a PBE calculation of crystalline Co2IrAu at its relaxed geometry, from Alexandria. Values from VASP.

Quantum ESPRESSO input file:
```
&SYSTEM
  ibrav = 0, nat = 4, ntyp = 3
/
ATOMIC_SPECIES
Au 196.97 Au.upf
Co 58.93 Co.upf
Ir 192.22 Ir.upf
CELL_PARAMETERS angstrom
2.705 0.000 0.000
0.000 3.705 0.000
0.000 0.000 5.551
ATOMIC_POSITIONS crystal
Au 0.500 0.500 0.765
Co 0.000 0.000 0.024
Co 0.500 0.500 0.247
Ir 0.000 0.000 0.465
```

Results
space group = Pmm2 (25)
formation energy from the elements = 22.63 kJ/mol of atoms
total moment = 4.4 μB per formula unit

---

| no. | raw total energy (eV/atom) |
| --- | --- |
| 1 | -6.20 |
| 2 | -6.37 |
| 3 | -5.38 |
| 4 | -5.27 |
| 5 | -5.20 |
| 6 | -6.18 |
| 7 | -6.21 |
| 8 | -6.37 |
| 9 | -5.23 |
| 10 | -5.26 |
| 11 | -6.02 |
| 12 | -6.35 |